Ho3Tm2Mg6: optimized geometry, PBE-GGA.

Unit cell a=4.405 b=4.405 c=16.399 alpha=97.72 beta=97.72 gamma=90.00
Positions (direct):
Ho1 0.000 0.000 0.000
Ho2 0.786 0.786 0.571
Ho3 0.214 0.214 0.429
Tm1 0.451 0.451 0.902
Tm2 0.549 0.549 0.098
Mg1 0.123 0.623 0.245
Mg2 0.623 0.123 0.245
Mg3 0.877 0.377 0.755
Mg4 0.377 0.877 0.755
Mg5 0.686 0.686 0.371
Mg6 0.314 0.314 0.629

Calculated values
As for the energy: -2.749 eV/atom. The calculation puts the density of states at the Fermi level at 1.391 states/eV per atom. For the formation energy, the calculation gives 2.01 eV/f.u.